Record 1
PBE Y2ScSbO, relaxed; DOS at the Fermi energy = 0.73 states/eV per atom; E = -0.5256 Ry per atom; formation energy from raw total energies = -1.483 eV/atom
1.0
4.881 0.000 0.000
0.000 4.881 0.000
0.000 0.000 4.319
Y Sc Sb O
2 1 1 1
Cartesian
0.000 2.440 0.000
2.440 0.000 0.000
0.000 0.000 2.159
2.440 2.440 2.159
0.000 0.000 0.000



Record 2
PBE ZrScSbO6, relaxed; DOS at the Fermi energy = 0.00 states/eV per atom; E = -0.5856 Ry per atom; formation energy from raw total energies = -2.550 eV/atom
1.0
5.346 0.000 0.000
-2.673 4.630 0.000
0.000 0.000 9.165
Zr Sc Sb O
2 2 2 12
Cartesian
0.000 3.087 2.291
2.673 1.543 6.874
0.000 0.000 0.000
0.000 0.000 4.583
0.000 3.087 6.874
2.673 1.543 2.291
-0.848 1.616 5.782
-1.698 3.088 7.967
0.848 1.616 7.967
-0.850 4.556 5.782
1.823 0.074 1.199
0.976 1.542 3.384
1.698 3.088 5.782
0.850 4.556 7.967
3.523 0.074 3.384
1.826 3.014 1.199
4.371 1.542 1.199
3.521 3.014 3.384



Record 3
PBE Zr2ScSbO, relaxed; DOS at the Fermi energy = 1.32 states/eV per atom; E = -0.5713 Ry per atom; formation energy from raw total energies = -1.271 eV/atom
1.0
4.608 0.000 0.000
0.000 4.608 0.000
0.000 0.000 4.264
Zr Sc Sb O
2 1 1 1
Cartesian
0.000 2.304 0.000
2.304 0.000 0.000
0.000 0.000 2.132
2.304 2.304 2.132
0.000 0.000 0.000